# Sb4OsSe

Sb4OsSe after structural relaxation (PBE, Alexandria via LeMat-Bulk).

The structure belongs to space group F-43m (No. 216); the cell edges are 8.570, 8.570 and 8.570 Å and the angles 90.00°, 90.00° and 90.00°. The distinct sites, in fractional coordinates, are Sb at (0.125, 0.125, 0.125), Os at (0.000, 0.000, 0.500) and Se at (0.250, 0.250, 0.750).

The total energy comes out at -23.9 eV/f.u. Its energy relative to the lowest polymorph listed for this composition is 1.147 eV per atom. The formation energy from raw total energies comes out at 1.22 eV per atom.